# TlZnAu2

A relaxed TlZnAu2 crystal (PBE-GGA, Alexandria via LeMat-Bulk).

```
data_TlZnAu2
_space_group_name_H-M_alt 'R 3 m'
_space_group_IT_number 160
_space_group_name_Hall 'R 3 -2"'
_cell_length_a 4.1197
_cell_length_b 4.1197
_cell_length_c 18.2323
_cell_angle_alpha 90.00
_cell_angle_beta 90.00
_cell_angle_gamma 120.00
loop_
_atom_site_label
_atom_site_type_symbol
_atom_site_fract_x
_atom_site_fract_y
_atom_site_fract_z
Tl1 Tl 0.0000 0.0000 0.0000
Zn1 Zn 0.0000 0.0000 0.8281
Au1 Au 0.0000 0.0000 0.2257
Au2 Au 0.0000 0.0000 0.4349
```

Energy relative to the lowest polymorph listed for this composition   0.19 eV per formula unit
Size of the total moment   0.00 μB/f.u.

---

# Tl4ZnAu5

A relaxed Tl4ZnAu5 crystal (PBE-GGA, Alexandria via LeMat-Bulk).

```
data_Tl4ZnAu5
_space_group_name_H-M_alt 'I 4 m m'
_space_group_IT_number 107
_space_group_name_Hall 'I 4 -2'
_cell_length_a 9.5465
_cell_length_b 9.5465
_cell_length_c 5.1214
_cell_angle_alpha 90.00
_cell_angle_beta 90.00
_cell_angle_gamma 90.00
loop_
_atom_site_label
_atom_site_type_symbol
_atom_site_fract_x
_atom_site_fract_y
_atom_site_fract_z
Tl1 Tl 0.0000 0.3057 0.0000
Zn1 Zn 0.0000 0.0000 0.2828
Au1 Au 0.0000 0.0000 0.7899
Au2 Au 0.1846 0.1846 0.4905
```

E   -2.752 eV/atom
Size of the total moment   0.00 μB/f.u.

---

# TlZnAu3

A relaxed TlZnAu3 crystal (PBE-GGA, Alexandria via LeMat-Bulk).

```
data_TlZnAu3
_space_group_name_H-M_alt 'P 63/m m c'
_space_group_IT_number 194
_space_group_name_Hall '-P 6c 2c'
_cell_length_a 6.6484
_cell_length_b 6.6484
_cell_length_c 5.5872
_cell_angle_alpha 90.00
_cell_angle_beta 90.00
_cell_angle_gamma 120.00
loop_
_atom_site_label
_atom_site_type_symbol
_atom_site_fract_x
_atom_site_fract_y
_atom_site_fract_z
Tl1 Tl 0.3333 0.6667 0.2500
Zn1 Zn 0.0000 0.0000 0.0000
Au1 Au 0.1922 0.3844 0.7500
```

Energy relative to the lowest polymorph listed for this composition   0.31 eV per formula unit
Size of the total moment   0.00 μB/f.u.

---

# TlZnAu2

A relaxed TlZnAu2 crystal (PBE-GGA, Alexandria via LeMat-Bulk).

```
data_TlZnAu2
_space_group_name_H-M_alt 'P 1 m 1'
_space_group_IT_number 6
_space_group_name_Hall 'P -2y'
_cell_length_a 3.6048
_cell_length_b 4.6740
_cell_length_c 5.3055
_cell_angle_alpha 90.00
_cell_angle_beta 95.65
_cell_angle_gamma 90.00
loop_
_atom_site_label
_atom_site_type_symbol
_atom_site_fract_x
_atom_site_fract_y
_atom_site_fract_z
Tl1 Tl 0.0000 0.0000 0.0000
Zn1 Zn 0.5133 0.5000 0.3078
Au1 Au 0.4351 0.0000 0.5066
Au2 Au 0.5133 0.5000 0.8184
```

Energy relative to the lowest polymorph listed for this composition   0.27 eV per formula unit
Size of the total moment   0.00 μB/f.u.

---

# Tl3ZnAu

A relaxed Tl3ZnAu crystal (PBE-GGA, Alexandria via LeMat-Bulk).

```
data_Tl3ZnAu
_space_group_name_H-M_alt 'P m -3 m'
_space_group_IT_number 221
_space_group_name_Hall '-P 4 2 3'
_cell_length_a 5.5678
_cell_length_b 5.5678
_cell_length_c 5.5678
_cell_angle_alpha 90.00
_cell_angle_beta 90.00
_cell_angle_gamma 90.00
loop_
_atom_site_label
_atom_site_type_symbol
_atom_site_fract_x
_atom_site_fract_y
_atom_site_fract_z
Tl1 Tl 0.0000 0.0000 0.5000
Zn1 Zn 0.5000 0.5000 0.5000
Au1 Au 0.0000 0.0000 0.0000
```

Energy relative to the lowest polymorph listed for this composition   0.00 eV per formula unit
Size of the total moment   0.00 μB/f.u.

---

# TlZn2Au

A relaxed TlZn2Au crystal (PBE-GGA, Alexandria via LeMat-Bulk).

```
data_TlZn2Au
_space_group_name_H-M_alt 'I -4 2 d'
_space_group_IT_number 122
_space_group_name_Hall 'I -4 2bw'
_cell_length_a 4.4272
_cell_length_b 4.4272
_cell_length_c 18.0724
_cell_angle_alpha 90.00
_cell_angle_beta 90.00
_cell_angle_gamma 90.00
loop_
_atom_site_label
_atom_site_type_symbol
_atom_site_fract_x
_atom_site_fract_y
_atom_site_fract_z
Tl1 Tl 0.0000 0.0000 0.0000
Zn1 Zn 0.1758 0.2500 0.6250
Au1 Au 0.0000 0.0000 0.5000
```

Energy relative to the lowest polymorph listed for this composition   0.29 eV per formula unit
Size of the total moment   0.00 μB/f.u.

---

# TlZnAu2

A relaxed TlZnAu2 crystal (PBE-GGA, Alexandria via LeMat-Bulk).

```
data_TlZnAu2
_space_group_name_H-M_alt 'R 3 m'
_space_group_IT_number 160
_space_group_name_Hall 'R 3 -2"'
_cell_length_a 3.3818
_cell_length_b 3.3818
_cell_length_c 25.3278
_cell_angle_alpha 90.00
_cell_angle_beta 90.00
_cell_angle_gamma 120.00
loop_
_atom_site_label
_atom_site_type_symbol
_atom_site_fract_x
_atom_site_fract_y
_atom_site_fract_z
Tl1 Tl 0.0000 0.0000 0.0000
Zn1 Zn 0.0000 0.0000 0.7582
Au1 Au 0.0000 0.0000 0.2436
Au2 Au 0.0000 0.0000 0.4943
```

Energy relative to the lowest polymorph listed for this composition   0.50 eV per formula unit
Size of the total moment   0.00 μB/f.u.

---

# TlZnAu3

A relaxed TlZnAu3 crystal (PBE-GGA, Alexandria via LeMat-Bulk).

```
data_TlZnAu3
_space_group_name_H-M_alt 'P m -3 m'
_space_group_IT_number 221
_space_group_name_Hall '-P 4 2 3'
_cell_length_a 4.9734
_cell_length_b 4.9734
_cell_length_c 4.9734
_cell_angle_alpha 90.00
_cell_angle_beta 90.00
_cell_angle_gamma 90.00
loop_
_atom_site_label
_atom_site_type_symbol
_atom_site_fract_x
_atom_site_fract_y
_atom_site_fract_z
Tl1 Tl 0.0000 0.0000 0.0000
Zn1 Zn 0.5000 0.5000 0.5000
Au1 Au 0.0000 0.5000 0.5000
```

Energy relative to the lowest polymorph listed for this composition   1.33 eV per formula unit
Size of the total moment   0.00 μB/f.u.

---

# TlZnAu2

A relaxed TlZnAu2 crystal (PBE-GGA, Alexandria via LeMat-Bulk).

```
data_TlZnAu2
_space_group_name_H-M_alt 'C 1 2/m 1'
_space_group_IT_number 12
_space_group_name_Hall '-C 2y'
_cell_length_a 5.6394
_cell_length_b 7.8292
_cell_length_c 3.6774
_cell_angle_alpha 90.00
_cell_angle_beta 90.21
_cell_angle_gamma 90.00
loop_
_atom_site_label
_atom_site_type_symbol
_atom_site_fract_x
_atom_site_fract_y
_atom_site_fract_z
Tl1 Tl 0.0000 0.0000 0.0000
Zn1 Zn 0.0000 0.5000 0.0000
Au1 Au 0.2500 0.2500 0.5000
```

Energy relative to the lowest polymorph listed for this composition   0.50 eV per formula unit
Size of the total moment   0.00 μB/f.u.

---

# TlZn2Au

A relaxed TlZn2Au crystal (PBE-GGA, Alexandria via LeMat-Bulk).

```
data_TlZn2Au
_space_group_name_H-M_alt 'C 1 2/m 1'
_space_group_IT_number 12
_space_group_name_Hall '-C 2y'
_cell_length_a 8.1573
_cell_length_b 4.0161
_cell_length_c 5.6090
_cell_angle_alpha 90.00
_cell_angle_beta 109.37
_cell_angle_gamma 90.00
loop_
_atom_site_label
_atom_site_type_symbol
_atom_site_fract_x
_atom_site_fract_y
_atom_site_fract_z
Tl1 Tl 0.0000 0.0000 0.0000
Zn1 Zn 0.2227 0.0000 0.6534
Au1 Au 0.0000 0.5000 0.5000
```

Energy relative to the lowest polymorph listed for this composition   0.00 eV per formula unit
Size of the total moment   0.00 μB/f.u.

---

# TlZnAu2

A relaxed TlZnAu2 crystal (PBE-GGA, Alexandria via LeMat-Bulk).

```
data_TlZnAu2
_space_group_name_H-M_alt 'P m m 2'
_space_group_IT_number 25
_space_group_name_Hall 'P 2 -2'
_cell_length_a 3.6074
_cell_length_b 3.6536
_cell_length_c 6.0970
_cell_angle_alpha 90.00
_cell_angle_beta 90.00
_cell_angle_gamma 90.00
loop_
_atom_site_label
_atom_site_type_symbol
_atom_site_fract_x
_atom_site_fract_y
_atom_site_fract_z
Tl1 Tl 0.0000 0.0000 0.0000
Zn1 Zn 0.5000 0.5000 0.3168
Au1 Au 0.0000 0.0000 0.4805
Au2 Au 0.5000 0.5000 0.7512
```

Energy relative to the lowest polymorph listed for this composition   0.28 eV per formula unit
Size of the total moment   0.00 μB/f.u.

---

# TlZnAu2

A relaxed TlZnAu2 crystal (PBE-GGA, Alexandria via LeMat-Bulk).

```
data_TlZnAu2
_space_group_name_H-M_alt 'I m m 2'
_space_group_IT_number 44
_space_group_name_Hall 'I 2 -2'
_cell_length_a 3.8228
_cell_length_b 4.6165
_cell_length_c 8.9879
_cell_angle_alpha 90.00
_cell_angle_beta 90.00
_cell_angle_gamma 90.00
loop_
_atom_site_label
_atom_site_type_symbol
_atom_site_fract_x
_atom_site_fract_y
_atom_site_fract_z
Tl1 Tl 0.0000 0.0000 0.0000
Zn1 Zn 0.0000 0.5000 0.2388
Au1 Au 0.0000 0.0000 0.5263
Au2 Au 0.0000 0.5000 0.7714
```

Energy relative to the lowest polymorph listed for this composition   0.46 eV per formula unit
Size of the total moment   0.00 μB/f.u.

---

# TlZnAu2

A relaxed TlZnAu2 crystal (PBE-GGA, Alexandria via LeMat-Bulk).

```
data_TlZnAu2
_space_group_name_H-M_alt 'P m m m'
_space_group_IT_number 47
_space_group_name_Hall '-P 2 2'
_cell_length_a 3.2282
_cell_length_b 3.2411
_cell_length_c 7.6583
_cell_angle_alpha 90.00
_cell_angle_beta 90.00
_cell_angle_gamma 90.00
loop_
_atom_site_label
_atom_site_type_symbol
_atom_site_fract_x
_atom_site_fract_y
_atom_site_fract_z
Tl1 Tl 0.0000 0.0000 0.0000
Zn1 Zn 0.0000 0.0000 0.5000
Au1 Au 0.5000 0.5000 0.3013
```

Energy relative to the lowest polymorph listed for this composition   0.00 eV per formula unit
Size of the total moment   0.00 μB/f.u.

---

# TlZnAu4

A relaxed TlZnAu4 crystal (PBE-GGA, Alexandria via LeMat-Bulk).

```
data_TlZnAu4
_space_group_name_H-M_alt 'F -4 3 m'
_space_group_IT_number 216
_space_group_name_Hall 'F -4 2 3'
_cell_length_a 7.9416
_cell_length_b 7.9416
_cell_length_c 7.9416
_cell_angle_alpha 90.00
_cell_angle_beta 90.00
_cell_angle_gamma 90.00
loop_
_atom_site_label
_atom_site_type_symbol
_atom_site_fract_x
_atom_site_fract_y
_atom_site_fract_z
Tl1 Tl 0.0000 0.0000 0.0000
Zn1 Zn 0.2500 0.2500 0.7500
Au1 Au 0.1246 0.1246 0.3754
```

Energy relative to the lowest polymorph listed for this composition   0.53 eV per formula unit
Size of the total moment   0.00 μB/f.u.

---

# Tl3Zn2Au9

A relaxed Tl3Zn2Au9 crystal (PBE-GGA, Alexandria via LeMat-Bulk).

```
data_Tl3Zn2Au9
_space_group_name_H-M_alt 'C 1 2/m 1'
_space_group_IT_number 12
_space_group_name_Hall '-C 2y'
_cell_length_a 10.4084
_cell_length_b 13.7895
_cell_length_c 4.7832
_cell_angle_alpha 90.00
_cell_angle_beta 96.97
_cell_angle_gamma 90.00
loop_
_atom_site_label
_atom_site_type_symbol
_atom_site_fract_x
_atom_site_fract_y
_atom_site_fract_z
Tl1 Tl 0.0000 0.0000 0.0000
Tl2 Tl 0.0000 0.2939 0.0000
Zn1 Zn 0.2233 0.5000 0.2517
Au1 Au 0.0000 0.5000 0.5000
Au2 Au 0.2229 0.1938 0.7315
Au3 Au 0.2283 0.4005 0.7549
```

E   -2.783 eV/atom
Size of the total moment   0.00 μB/f.u.

---

# TlZnAu2

A relaxed TlZnAu2 crystal (PBE-GGA, Alexandria via LeMat-Bulk).

```
data_TlZnAu2
_space_group_name_H-M_alt 'P 4/m m m'
_space_group_IT_number 123
_space_group_name_Hall '-P 4 2'
_cell_length_a 4.5216
_cell_length_b 4.5216
_cell_length_c 3.8681
_cell_angle_alpha 90.00
_cell_angle_beta 90.00
_cell_angle_gamma 90.00
loop_
_atom_site_label
_atom_site_type_symbol
_atom_site_fract_x
_atom_site_fract_y
_atom_site_fract_z
Tl1 Tl 0.0000 0.0000 0.0000
Zn1 Zn 0.5000 0.5000 0.0000
Au1 Au 0.0000 0.5000 0.5000
```

Energy relative to the lowest polymorph listed for this composition   0.55 eV per formula unit
Size of the total moment   0.00 μB/f.u.

---

# TlZn2Au

A relaxed TlZn2Au crystal (PBE-GGA, Alexandria via LeMat-Bulk).

```
data_TlZn2Au
_space_group_name_H-M_alt 'P 4 m m'
_space_group_IT_number 99
_space_group_name_Hall 'P 4 -2'
_cell_length_a 3.3283
_cell_length_b 3.3283
_cell_length_c 7.2636
_cell_angle_alpha 90.00
_cell_angle_beta 90.00
_cell_angle_gamma 90.00
loop_
_atom_site_label
_atom_site_type_symbol
_atom_site_fract_x
_atom_site_fract_y
_atom_site_fract_z
Tl1 Tl 0.0000 0.0000 0.0000
Zn1 Zn 0.0000 0.0000 0.5063
Zn2 Zn 0.5000 0.5000 0.3044
Au1 Au 0.5000 0.5000 0.6906
```

Energy relative to the lowest polymorph listed for this composition   0.19 eV per formula unit
Size of the total moment   0.00 μB/f.u.

---

# TlZn2Au

A relaxed TlZn2Au crystal (PBE-GGA, Alexandria via LeMat-Bulk).

```
data_TlZn2Au
_space_group_name_H-M_alt 'C 1 m 1'
_space_group_IT_number 8
_space_group_name_Hall 'C -2y'
_cell_length_a 8.8718
_cell_length_b 3.7461
_cell_length_c 4.9731
_cell_angle_alpha 90.00
_cell_angle_beta 99.47
_cell_angle_gamma 90.00
loop_
_atom_site_label
_atom_site_type_symbol
_atom_site_fract_x
_atom_site_fract_y
_atom_site_fract_z
Tl1 Tl 0.0000 0.0000 0.0000
Zn1 Zn 0.2325 0.0000 0.6985
Zn2 Zn 0.4879 0.0000 0.4903
Au1 Au 0.2570 0.5000 0.3217
```

Energy relative to the lowest polymorph listed for this composition   0.15 eV per formula unit
Size of the total moment   0.00 μB/f.u.

---

# TlZn2Au

A relaxed TlZn2Au crystal (PBE-GGA, Alexandria via LeMat-Bulk).

```
data_TlZn2Au
_space_group_name_H-M_alt 'R 3 m'
_space_group_IT_number 160
_space_group_name_Hall 'R 3 -2"'
_cell_length_a 3.7940
_cell_length_b 3.7940
_cell_length_c 21.2689
_cell_angle_alpha 90.00
_cell_angle_beta 90.00
_cell_angle_gamma 120.00
loop_
_atom_site_label
_atom_site_type_symbol
_atom_site_fract_x
_atom_site_fract_y
_atom_site_fract_z
Tl1 Tl 0.0000 0.0000 0.0000
Zn1 Zn 0.0000 0.0000 0.2340
Zn2 Zn 0.0000 0.0000 0.4308
Au1 Au 0.0000 0.0000 0.8325
```

Energy relative to the lowest polymorph listed for this composition   0.18 eV per formula unit
Size of the total moment   0.00 μB/f.u.

---

# Tl3ZnAu

A relaxed Tl3ZnAu crystal (PBE-GGA, Alexandria via LeMat-Bulk).

```
data_Tl3ZnAu
_space_group_name_H-M_alt 'P m -3 m'
_space_group_IT_number 221
_space_group_name_Hall '-P 4 2 3'
_cell_length_a 5.3057
_cell_length_b 5.3057
_cell_length_c 5.3057
_cell_angle_alpha 90.00
_cell_angle_beta 90.00
_cell_angle_gamma 90.00
loop_
_atom_site_label
_atom_site_type_symbol
_atom_site_fract_x
_atom_site_fract_y
_atom_site_fract_z
Tl1 Tl 0.0000 0.0000 0.5000
Zn1 Zn 0.0000 0.0000 0.0000
Au1 Au 0.5000 0.5000 0.5000
```

Energy relative to the lowest polymorph listed for this composition   0.19 eV per formula unit
Size of the total moment   0.00 μB/f.u.